(1)
Computed, not measured: an optimized crystal structure of LaZnGe2O at the PBE level of DFT.

```
LaZnGe2O
1.0
5.842 0.000 0.000
0.000 5.842 0.000
0.000 0.000 6.043
La Zn Ge O
1 1 2 1
Direct
0.000 0.000 0.000
0.000 0.000 0.500
0.000 0.500 0.000
0.500 0.000 0.000
0.500 0.500 0.500
```

Output
- Energy relative to the elements, uncorrected: 1.378 eV per atom
- SG: P4/mmm (123)

***

(2)
Computed, not measured: an optimized crystal structure of LaZrGe2O8 at the PBE level of DFT.

```
LaZrGe2O8
1.0
-3.533 3.533 3.264
3.533 -3.533 3.264
3.533 3.533 -3.264
La Zr Ge O
1 1 2 8
Direct
0.000 0.000 0.000
0.750 0.250 0.500
0.250 0.750 0.500
0.500 0.500 0.000
0.054 0.382 0.328
0.054 0.726 0.672
0.131 0.327 0.804
0.274 0.946 0.328
0.522 0.327 0.196
0.618 0.946 0.672
0.673 0.478 0.804
0.673 0.869 0.196
```

Output
- Energy relative to the elements, uncorrected: -2.295 eV per atom
- SG: I-4m2 (119)

***

(3)
Computed, not measured: an optimized crystal structure of LaGe8Os2 at the PBE level of DFT.

```
LaGe8Os2
1.0
6.331 0.000 0.000
0.000 6.331 0.000
0.000 0.000 5.573
La Ge Os
1 8 2
Direct
0.000 0.000 0.000
0.291 0.291 0.251
0.291 0.291 0.749
0.291 0.709 0.251
0.291 0.709 0.749
0.709 0.291 0.251
0.709 0.291 0.749
0.709 0.709 0.251
0.709 0.709 0.749
0.000 0.500 0.500
0.500 0.000 0.500
```

Output
- SG: P4/mmm (123)
- DFT formation energy: 15 kJ per mole of atoms

***

(4)
Computed, not measured: an optimized crystal structure of La4Ge2Os at the PBE level of DFT.

```
La4Ge2Os
1.0
11.446 0.000 0.000
0.000 4.652 0.000
-4.574 0.000 7.387
La Ge Os
8 4 2
Direct
0.079 0.000 0.362
0.179 0.500 0.064
0.321 0.000 0.936
0.421 0.500 0.638
0.579 0.500 0.362
0.679 0.000 0.064
0.821 0.500 0.936
0.921 0.000 0.638
0.133 0.500 0.649
0.367 0.000 0.351
0.633 0.000 0.649
0.867 0.500 0.351
0.000 0.000 0.000
0.500 0.500 0.000
```

Output
- SG: C2/m (12)
- DFT formation energy: -53 kJ per mole of atoms

***

(5)
Computed, not measured: an optimized crystal structure of La3Ge4Os2 at the PBE level of DFT.

```
La3Ge4Os2
1.0
5.810 -2.114 0.000
5.810 2.114 0.000
-1.945 0.000 8.481
La Ge Os
3 4 2
Direct
0.000 0.000 0.000
0.330 0.330 0.352
0.670 0.670 0.648
0.047 0.047 0.372
0.264 0.264 0.918
0.736 0.736 0.082
0.953 0.953 0.628
0.392 0.392 0.726
0.608 0.608 0.274
```

Output
- SG: C2/m (12)
- DFT formation energy: -51 kJ per mole of atoms

***

(6)
Computed, not measured: an optimized crystal structure of La5Ge2Os at the PBE level of DFT.

```
La5Ge2Os
1.0
8.088 0.000 0.000
0.000 12.351 0.000
0.000 0.000 4.658
La Ge Os
10 4 2
Direct
0.000 0.000 0.000
0.141 0.294 0.000
0.193 0.569 0.500
0.307 0.069 0.500
0.359 0.794 0.000
0.500 0.500 0.000
0.641 0.206 0.000
0.693 0.931 0.500
0.807 0.431 0.500
0.859 0.706 0.000
0.076 0.831 0.500
0.424 0.331 0.500
0.576 0.669 0.500
0.924 0.169 0.500
0.000 0.500 0.000
0.500 0.000 0.000
```

Output
- SG: Pbam (55)
- DFT formation energy: -56 kJ per mole of atoms

***

(7)
Computed, not measured: an optimized crystal structure of LaGe3Os at the PBE level of DFT.

```
LaGe3Os
1.0
4.858 0.000 0.000
0.000 4.858 0.000
0.000 0.000 4.858
La Ge Os
1 3 1
Direct
0.000 0.000 0.000
0.000 0.500 0.500
0.500 0.000 0.500
0.500 0.500 0.000
0.500 0.500 0.500
```

Output
- SG: Pm-3m (221)
- DFT formation energy: 4 kJ per mole of atoms

***

(8)
Computed, not measured: an optimized crystal structure of LaGe3Os at the PBE level of DFT.

```
LaGe3Os
1.0
6.317 0.000 0.000
0.000 5.807 0.000
0.000 0.000 5.841
La Ge Os
2 6 2
Direct
0.000 0.146 0.000
0.500 0.854 0.500
0.000 0.919 0.537
0.232 0.331 0.474
0.268 0.669 0.974
0.500 0.081 0.037
0.732 0.669 0.974
0.768 0.331 0.474
0.000 0.609 0.271
0.500 0.391 0.771
```

Output
- SG: Pmn2_1 (31)
- DFT formation energy: -38 kJ per mole of atoms

***

(9)
Computed, not measured: an optimized crystal structure of La2Ge3Os at the PBE level of DFT.

```
La2Ge3Os
1.0
0.000 4.343 7.447
4.319 0.000 7.447
4.319 4.343 0.000
La Ge Os
4 6 2
Direct
0.239 0.761 0.761
0.250 0.250 0.250
0.750 0.750 0.750
0.761 0.239 0.239
0.162 0.667 0.333
0.329 0.329 0.671
0.333 0.838 0.162
0.667 0.162 0.838
0.671 0.671 0.329
0.838 0.333 0.667
0.165 0.165 0.835
0.835 0.835 0.165
```

Output
- SG: Fmmm (69)
- DFT formation energy: -58 kJ per mole of atoms

***

(10)
Computed, not measured: an optimized crystal structure of LaGe3Os at the PBE level of DFT.

```
LaGe3Os
1.0
5.491 0.000 0.000
0.000 5.491 0.000
0.000 0.000 5.491
La Ge Os
1 3 1
Direct
0.000 0.000 0.000
0.000 0.000 0.500
0.000 0.500 0.000
0.500 0.000 0.000
0.500 0.500 0.500
```

Output
- SG: Pm-3m (221)
- DFT formation energy: 200 kJ per mole of atoms

***

(11)
Computed, not measured: an optimized crystal structure of La2GeOs at the PBE level of DFT.

```
La2GeOs
1.0
8.053 0.000 0.000
0.000 8.053 0.000
0.000 0.000 6.457
La Ge Os
8 4 4
Direct
0.204 0.250 0.125
0.250 0.704 0.375
0.250 0.796 0.875
0.296 0.250 0.625
0.704 0.750 0.625
0.750 0.204 0.875
0.750 0.296 0.375
0.796 0.750 0.125
0.000 0.000 0.500
0.000 0.500 0.750
0.500 0.000 0.250
0.500 0.500 0.000
0.000 0.000 0.000
0.000 0.500 0.250
0.500 0.000 0.750
0.500 0.500 0.500
```

Output
- SG: I-42d (122)
- DFT formation energy: 0 kJ per mole of atoms

***

(12)
Computed, not measured: an optimized crystal structure of La2Ge6Os at the PBE level of DFT.

```
La2Ge6Os
1.0
6.830 0.000 0.000
0.000 4.413 0.000
-1.927 0.000 6.563
La Ge Os
2 6 1
Direct
0.244 0.000 0.256
0.756 0.000 0.744
0.104 0.500 0.870
0.300 0.000 0.801
0.370 0.500 0.605
0.630 0.500 0.395
0.700 0.000 0.199
0.896 0.500 0.130
0.500 0.500 0.000
```

Output
- SG: P2/m (10)
- DFT formation energy: -33 kJ per mole of atoms

***

Computed values of volume (unit: Å³ per atom) for the preceding records, in sequence: 41.25; 13.58; 20.31; 28.09; 23.15; 29.08; 22.93; 21.42; 23.29; 33.12; 26.17; 21.98.
Computed values of N(E_F) (unit: states/eV/f.u.) for the preceding records, in sequence: 12.69; 7.48; 5.44; 4.87; 5.57; 7.29; 4.65; 2.63; 4.58; 7.05; 1.85; 4.83.